1.
Compound: BeSeO2
Source: Alexandria
Functional: SCAN
Structure: PBEsol geometry Values from VASP.

Quantum ESPRESSO input file:
```
&SYSTEM
  ibrav = 0, nat = 16, ntyp = 3
/
ATOMIC_SPECIES
Be 9.01 Be.upf
Se 78.96 Se.upf
O 16.00 O.upf
CELL_PARAMETERS angstrom
5.397 0.000 0.000
0.000 5.397 0.000
0.000 0.000 5.397
ATOMIC_POSITIONS crystal
Be 0.000 0.000 0.000
Be 0.000 0.500 0.500
Be 0.500 0.000 0.500
Be 0.500 0.500 0.000
Se 0.000 0.000 0.500
Se 0.000 0.500 0.000
Se 0.500 0.000 0.000
Se 0.500 0.500 0.500
O 0.250 0.250 0.250
O 0.250 0.250 0.750
O 0.250 0.750 0.250
O 0.250 0.750 0.750
O 0.750 0.250 0.250
O 0.750 0.250 0.750
O 0.750 0.750 0.250
O 0.750 0.750 0.750
```

Summary:
D(E_F): 1.457 states/eV/f.u.
offset from the most stable computed form: 1681 meV per atom
electronic total energy: -35.4 eV per formula unit
E_form (uncorrected): 365 meV/atom

2.
Compound: Be2SeO
Source: Alexandria
Functional: SCAN
Structure: PBEsol geometry Values from VASP.

Quantum ESPRESSO input file:
```
&SYSTEM
  ibrav = 0, nat = 16, ntyp = 3
/
ATOMIC_SPECIES
Be 9.01 Be.upf
Se 78.96 Se.upf
O 16.00 O.upf
CELL_PARAMETERS angstrom
4.482 0.000 0.000
0.000 4.482 0.000
0.000 0.000 8.881
ATOMIC_POSITIONS crystal
Be 0.155 0.250 0.125
Be 0.250 0.655 0.375
Be 0.250 0.845 0.875
Be 0.345 0.250 0.625
Be 0.655 0.750 0.625
Be 0.750 0.155 0.875
Be 0.750 0.345 0.375
Be 0.845 0.750 0.125
Se 0.000 0.000 0.500
Se 0.000 0.500 0.750
Se 0.500 0.000 0.250
Se 0.500 0.500 0.000
O 0.000 0.000 0.000
O 0.000 0.500 0.250
O 0.500 0.000 0.750
O 0.500 0.500 0.500
```

Summary:
D(E_F): 0.000 states/eV/f.u.
electronic total energy: -41.6 eV per formula unit
E_form (uncorrected): -1647 meV/atom

3.
Compound: Be3V2Si3O12
Source: Alexandria
Functional: SCAN
Structure: PBEsol geometry Values from VASP.

Quantum ESPRESSO input file:
```
&SYSTEM
  ibrav = 0, nat = 80, ntyp = 4
/
ATOMIC_SPECIES
Be 9.01 Be.upf
V 50.94 V.upf
Si 28.09 Si.upf
O 16.00 O.upf
CELL_PARAMETERS angstrom
7.923 0.000 0.000
0.000 7.375 0.000
-7.860 0.000 13.653
ATOMIC_POSITIONS crystal
Be 0.029 0.142 0.415
Be 0.029 0.358 0.915
Be 0.311 0.140 0.235
Be 0.311 0.360 0.735
Be 0.332 0.650 0.404
Be 0.332 0.850 0.904
Be 0.668 0.150 0.096
Be 0.668 0.350 0.596
Be 0.689 0.640 0.265
Be 0.689 0.860 0.765
Be 0.971 0.642 0.085
Be 0.971 0.858 0.585
V 0.328 0.066 0.076
V 0.328 0.434 0.576
V 0.334 0.059 0.589
V 0.334 0.441 0.089
V 0.666 0.559 0.911
V 0.666 0.941 0.411
V 0.672 0.566 0.424
V 0.672 0.934 0.924
Si 0.034 0.740 0.919
Si 0.034 0.760 0.419
Si 0.300 0.740 0.733
Si 0.300 0.760 0.233
Si 0.339 0.240 0.899
Si 0.339 0.260 0.399
Si 0.661 0.740 0.601
Si 0.661 0.760 0.101
Si 0.700 0.240 0.767
Si 0.700 0.260 0.267
Si 0.966 0.240 0.581
Si 0.966 0.260 0.081
O 0.102 0.245 0.025
O 0.102 0.255 0.525
O 0.114 0.247 0.863
O 0.114 0.253 0.363
O 0.122 0.249 0.194
O 0.122 0.251 0.694
O 0.149 0.545 0.961
O 0.149 0.955 0.461
O 0.210 0.605 0.145
O 0.210 0.895 0.645
O 0.215 0.611 0.464
O 0.215 0.889 0.964
O 0.228 0.736 0.810
O 0.228 0.764 0.310
O 0.278 0.549 0.673
O 0.278 0.951 0.173
O 0.419 0.040 0.887
O 0.419 0.460 0.387
O 0.436 0.114 0.355
O 0.436 0.386 0.855
O 0.446 0.239 0.523
O 0.446 0.261 0.023
O 0.454 0.242 0.196
O 0.454 0.258 0.696
O 0.546 0.742 0.304
O 0.546 0.758 0.804
O 0.554 0.739 0.977
O 0.554 0.761 0.477
O 0.564 0.614 0.145
O 0.564 0.886 0.645
O 0.581 0.540 0.613
O 0.581 0.960 0.113
O 0.722 0.049 0.827
O 0.722 0.451 0.327
O 0.772 0.236 0.690
O 0.772 0.264 0.190
O 0.785 0.111 0.036
O 0.785 0.389 0.536
O 0.790 0.105 0.355
O 0.790 0.395 0.855
O 0.851 0.045 0.539
O 0.851 0.455 0.039
O 0.878 0.749 0.306
O 0.878 0.751 0.806
O 0.886 0.747 0.637
O 0.886 0.753 0.137
O 0.898 0.745 0.475
O 0.898 0.755 0.975
```

Summary:
electronic total energy: -208.7 eV per formula unit
E_form (uncorrected): -2794 meV/atom

4.
Compound: BeSnO3
Source: Alexandria
Functional: SCAN
Structure: PBEsol geometry Values from VASP.

Quantum ESPRESSO input file:
```
&SYSTEM
  ibrav = 0, nat = 5, ntyp = 3
/
ATOMIC_SPECIES
Be 9.01 Be.upf
Sn 118.71 Sn.upf
O 16.00 O.upf
CELL_PARAMETERS angstrom
3.506 0.000 0.000
0.000 3.506 0.000
0.000 0.000 3.506
ATOMIC_POSITIONS crystal
Be 0.000 0.000 0.000
Sn 0.500 0.500 0.500
O 0.000 0.000 0.500
O 0.000 0.500 0.000
O 0.500 0.000 0.000
```

Summary:
D(E_F): 2.430 states/eV/f.u.
electronic total energy: -65.2 eV per formula unit
E_form (uncorrected): -1249 meV/atom

What did the first record say?
Compound: BeSeO2
Source: Alexandria
Functional: SCAN
Structure: PBEsol geometry Values from VASP.

Quantum ESPRESSO input file:
```
&SYSTEM
  ibrav = 0, nat = 16, ntyp = 3
/
ATOMIC_SPECIES
Be 9.01 Be.upf
Se 78.96 Se.upf
O 16.00 O.upf
CELL_PARAMETERS angstrom
5.397 0.000 0.000
0.000 5.397 0.000
0.000 0.000 5.397
ATOMIC_POSITIONS crystal
Be 0.000 0.000 0.000
Be 0.000 0.500 0.500
Be 0.500 0.000 0.500
Be 0.500 0.500 0.000
Se 0.000 0.000 0.500
Se 0.000 0.500 0.000
Se 0.500 0.000 0.000
Se 0.500 0.500 0.500
O 0.250 0.250 0.250
O 0.250 0.250 0.750
O 0.250 0.750 0.250
O 0.250 0.750 0.750
O 0.750 0.250 0.250
O 0.750 0.250 0.750
O 0.750 0.750 0.250
O 0.750 0.750 0.750
```

Summary:
D(E_F): 1.457 states/eV/f.u.
offset from the most stable computed form: 1681 meV per atom
electronic total energy: -35.4 eV per formula unit
E_form (uncorrected): 365 meV/atom

Question: Among the records above, which one has the highest electronic total energy?
Answer: BeSeO2

Question: Which of these has the highest E_form (uncorrected)?
Answer: BeSeO2

Repeat the first record exactly.
Compound: BeSeO2
Source: Alexandria
Functional: SCAN
Structure: PBEsol geometry Values from VASP.

Quantum ESPRESSO input file:
```
&SYSTEM
  ibrav = 0, nat = 16, ntyp = 3
/
ATOMIC_SPECIES
Be 9.01 Be.upf
Se 78.96 Se.upf
O 16.00 O.upf
CELL_PARAMETERS angstrom
5.397 0.000 0.000
0.000 5.397 0.000
0.000 0.000 5.397
ATOMIC_POSITIONS crystal
Be 0.000 0.000 0.000
Be 0.000 0.500 0.500
Be 0.500 0.000 0.500
Be 0.500 0.500 0.000
Se 0.000 0.000 0.500
Se 0.000 0.500 0.000
Se 0.500 0.000 0.000
Se 0.500 0.500 0.500
O 0.250 0.250 0.250
O 0.250 0.250 0.750
O 0.250 0.750 0.250
O 0.250 0.750 0.750
O 0.750 0.250 0.250
O 0.750 0.250 0.750
O 0.750 0.750 0.250
O 0.750 0.750 0.750
```

Summary:
D(E_F): 1.457 states/eV/f.u.
offset from the most stable computed form: 1681 meV per atom
electronic total energy: -35.4 eV per formula unit
E_form (uncorrected): 365 meV/atom